Entry from Alexandria: a geometry-optimized VH3W structure (PBE).

Computed properties:
space group	Pm-3m, No. 221
offset from the most stable computed form	3.7	kJ per mole of atoms
ρ	9.32	g/cm3
D(E_F)	3.8	states/eV/cell

a = 3.4864 Å, b = 3.4864 Å, c = 3.4864 Å
α = 90.00°, β = 90.00°, γ = 90.00°
With the nearest neighbours (Å) after each atom.
Fractional positions:
H: 0.0000 0.5000 0.0000  2 W 1.74
H: 0.0000 0.0000 0.5000  2 W 1.74
H: 0.5000 0.0000 0.0000  2 W 1.74
W: 0.0000 0.0000 0.0000  6 H 1.74
V: 0.5000 0.5000 0.5000  12 H 2.47

Entry from Alexandria: a geometry-optimized VHW structure (PBE).

Computed properties:
space group	P2_1/c, No. 14
offset from the most stable computed form	0.0	kJ per mole of atoms
ρ	12.18	g/cm3
D(E_F)	4.4	states/eV/cell

a = 6.2637 Å, b = 4.5052 Å, c = 5.5260 Å
α = 90.00°, β = 124.46°, γ = 90.00°
With the nearest neighbours (Å) after each atom.
Fractional positions:
H: 0.6900 0.8768 0.8820  2 V 1.79, 2 W 1.83-1.84
H: 0.8100 0.3768 0.1180  2 V 1.79, 2 W 1.83-1.84
H: 0.3100 0.1232 0.1180  2 V 1.79, 2 W 1.83-1.84
H: 0.1900 0.6232 0.8820  2 V 1.79, 2 W 1.83-1.84
W: 0.8831 0.7559 0.2660  2 H 1.83-1.84
W: 0.6169 0.2559 0.7340  2 H 1.83-1.84
W: 0.1169 0.2441 0.7340  2 H 1.83-1.84
W: 0.3831 0.7441 0.2660  2 H 1.83-1.84
V: 0.8692 0.7506 0.7387  2 H 1.79
V: 0.6308 0.2506 0.2613  2 H 1.79
V: 0.1308 0.2494 0.2613  2 H 1.79
V: 0.3692 0.7494 0.7387  2 H 1.79

Entry from Alexandria: a geometry-optimized YVHW2 structure (PBE).

Computed properties:
space group	P4/mmm, No. 123
raw total energy	-6.9730	eV per atom
ρ	9.86	g/cm3
D(E_F)	5.8	states/eV/cell

a = 5.1085 Å, b = 3.2833 Å, c = 5.1085 Å
α = 90.00°, β = 90.00°, γ = 90.00°
With the nearest neighbours (Å) after each atom.
Fractional positions:
Y: 0.0000 0.0000 0.0000  2 H 1.64
H: 0.0000 0.5000 0.0000  2 Y 1.64
W: 0.0000 0.0000 0.5000  2 Y 2.55
W: 0.5000 0.0000 0.0000  2 Y 2.55
V: 0.5000 0.5000 0.5000  8 W 3.04, 2 V 3.28

Entry from Alexandria: a geometry-optimized V2ZnHW structure (PBE).

Computed properties:
space group	P4/mmm, No. 123
raw total energy	-7.1096	eV per atom
ρ	9.94	g/cm3
D(E_F)	1.8	states/eV/cell

a = 3.8655 Å, b = 3.8655 Å, c = 3.9357 Å
α = 90.00°, β = 90.00°, γ = 90.00°
With the nearest neighbours (Å) after each atom.
Fractional positions:
H: 0.0000 0.0000 0.0000  4 V 1.93, 2 W 1.97
Zn: 0.5000 0.5000 0.5000  4 W 2.73, 8 V 2.76
W: 0.0000 0.0000 0.5000  2 H 1.97
V: 0.0000 0.5000 0.0000  2 H 1.93
V: 0.5000 0.0000 0.0000  2 H 1.93

Entry from Alexandria: a geometry-optimized YVH2 structure (PBE).

Computed properties:
space group	I-42d, No. 122
offset from the most stable computed form	0.0	kJ per mole of atoms
ρ	5.05	g/cm3
D(E_F)	4.7	states/eV/cell

a = 5.0602 Å, b = 5.0602 Å, c = 5.1070 Å
α = 60.30°, β = 60.30°, γ = 90.00°
With the nearest neighbours (Å) after each atom.
Fractional positions:
Y: 0.0000 0.0000 0.0000  4 H 2.24
Y: 0.7500 0.2500 0.5000  4 H 2.24
H: 0.5565 0.1250 0.2500  2 V 1.81
H: 0.1935 0.6250 0.2500  2 V 1.81
H: 0.3750 0.4435 0.7500  2 V 1.81
H: 0.8750 0.8065 0.7500  2 V 1.81
V: 0.5000 0.5000 0.0000  4 H 1.81
V: 0.2500 0.7500 0.5000  4 H 1.81

Entry from Alexandria: a geometry-optimized YVH2 structure (PBE).

Computed properties:
space group	R-3m, No. 166
offset from the most stable computed form	9.1	kJ per mole of atoms
ρ	5.33	g/cm3
D(E_F)	4.1	states/eV/cell

a = 3.1618 Å, b = 3.1618 Å, c = 5.4254 Å
α = 73.06°, β = 73.06°, γ = 60.00°
With the nearest neighbours (Å) after each atom.
Fractional positions:
Y: 0.0000 0.0000 0.0000  6 H 2.51
H: 0.2214 0.2214 0.3359  3 V 2.01
H: 0.7786 0.7786 0.6641  3 V 2.01
V: 0.5000 0.5000 0.5000  6 H 2.01

Entry from Alexandria: a geometry-optimized YVH2 structure (PBE).

Computed properties:
space group	Fm-3m, No. 225
offset from the most stable computed form	49.7	kJ per mole of atoms
ρ	4.74	g/cm3
D(E_F)	3.1	states/eV/cell

a = 4.1262 Å, b = 4.1262 Å, c = 4.1262 Å
α = 60.00°, β = 60.00°, γ = 60.00°
With the nearest neighbours (Å) after each atom.
Fractional positions:
Y: 0.5000 0.5000 0.5000  8 H 2.53
H: 0.2500 0.2500 0.2500  4 Y 2.53, 4 V 2.53
H: 0.7500 0.7500 0.7500  4 Y 2.53, 4 V 2.53
V: 0.0000 0.0000 0.0000  8 H 2.53

Entry from Alexandria: a geometry-optimized Y3VH structure (PBE).

Computed properties:
space group	Pm-3m, No. 221
offset from the most stable computed form	0.0	kJ per mole of atoms
ρ	4.75	g/cm3
D(E_F)	6.3	states/eV/cell

a = 4.8123 Å, b = 4.8123 Å, c = 4.8123 Å
α = 90.00°, β = 90.00°, γ = 90.00°
With the nearest neighbours (Å) after each atom.
Fractional positions:
Y: 0.0000 0.5000 0.0000  2 H 2.41
Y: 0.0000 0.0000 0.5000  2 H 2.41
Y: 0.5000 0.0000 0.0000  2 H 2.41
H: 0.0000 0.0000 0.0000  6 Y 2.41
V: 0.5000 0.5000 0.5000  12 Y 3.40

Entry from Alexandria: a geometry-optimized Y2VH2 structure (PBE).

Computed properties:
space group	I4/mmm, No. 139
raw total energy	-5.9106	eV per atom
ρ	4.55	g/cm3
D(E_F)	3.7	states/eV/cell

a = 3.6704 Å, b = 3.6704 Å, c = 6.7664 Å
α = 74.26°, β = 74.26°, γ = 90.00°
With the nearest neighbours (Å) after each atom.
Fractional positions:
Y: 0.3527 0.3527 0.2946  4 H 2.24
Y: 0.6473 0.6473 0.7054  4 H 2.24
H: 0.7500 0.2500 0.5000  4 Y 2.24
H: 0.2500 0.7500 0.5000  4 Y 2.24
V: 0.0000 0.0000 0.0000  8 Y 3.18

Entry from Alexandria: a geometry-optimized YV3H structure (PBE).

Computed properties:
space group	Pm-3m, No. 221
offset from the most stable computed form	0.0	kJ per mole of atoms
ρ	5.67	g/cm3
D(E_F)	7.9	states/eV/cell

a = 4.1427 Å, b = 4.1427 Å, c = 4.1427 Å
α = 90.00°, β = 90.00°, γ = 90.00°
With the nearest neighbours (Å) after each atom.
Fractional positions:
Y: 0.5000 0.5000 0.5000  12 V 2.93
H: 0.0000 0.0000 0.0000  6 V 2.07
V: 0.0000 0.5000 0.0000  2 H 2.07
V: 0.0000 0.0000 0.5000  2 H 2.07
V: 0.5000 0.0000 0.0000  2 H 2.07

Entry from Alexandria: a geometry-optimized YV3H structure (PBE).

Computed properties:
space group	Pm-3m, No. 221
offset from the most stable computed form	212.6	kJ per mole of atoms
ρ	3.38	g/cm3
D(E_F)	8.4	states/eV/cell

a = 4.9232 Å, b = 4.9232 Å, c = 4.9232 Å
α = 90.00°, β = 90.00°, γ = 90.00°
With the nearest neighbours (Å) after each atom.
Fractional positions:
Y: 0.0000 0.0000 0.0000  6 V 2.46
H: 0.5000 0.5000 0.5000  12 V 3.48
V: 0.0000 0.5000 0.0000  2 Y 2.46
V: 0.0000 0.0000 0.5000  2 Y 2.46
V: 0.5000 0.0000 0.0000  2 Y 2.46

Entry from Alexandria: a geometry-optimized YZr2VH structure (PBE).

Computed properties:
space group	P4/mmm, No. 123
raw total energy	-7.0807	eV per atom
ρ	5.69	g/cm3
D(E_F)	7.0	states/eV/cell

a = 4.3888 Å, b = 4.8977 Å, c = 4.3888 Å
α = 90.00°, β = 90.00°, γ = 90.00°
With the nearest neighbours (Å) after each atom.
Fractional positions:
Y: 0.0000 0.5000 0.0000  2 H 2.45
H: 0.0000 0.0000 0.0000  4 Zr 2.19, 2 Y 2.45
Zr: 0.0000 0.0000 0.5000  2 H 2.19
Zr: 0.5000 0.0000 0.0000  2 H 2.19
V: 0.5000 0.5000 0.5000  4 Y 3.10, 8 Zr 3.29

Entry from Alexandria: a geometry-optimized VZnH3 structure (PBE).

Computed properties:
space group	Pm-3m, No. 221
offset from the most stable computed form	0.0	kJ per mole of atoms
ρ	4.82	g/cm3
D(E_F)	1.3	states/eV/cell

a = 3.4510 Å, b = 3.4510 Å, c = 3.4510 Å
α = 90.00°, β = 90.00°, γ = 90.00°
With the nearest neighbours (Å) after each atom.
Fractional positions:
H: 0.0000 0.5000 0.0000  2 V 1.73
H: 0.0000 0.0000 0.5000  2 V 1.73
H: 0.5000 0.0000 0.0000  2 V 1.73
Zn: 0.5000 0.5000 0.5000  12 H 2.44
V: 0.0000 0.0000 0.0000  6 H 1.73